Entry one
YOsSeN2 GGA-PBE relaxed; symmetry = P4/mmm, No. 123; total magnetic moment = 0.00 μB per atom
1.0
3.922 0.000 0.000
0.000 3.922 0.000
0.000 0.000 5.183
Y Os Se N
1 1 1 2
direct
0.000 0.000 0.000 Y
0.500 0.500 0.500 Os
0.500 0.500 0.000 Se
0.000 0.500 0.500 N
0.500 0.000 0.500 N

---

Entry two
YOsSeN2 GGA-PBE relaxed; symmetry = P4/mmm, No. 123; total magnetic moment = 1.16 μB per atom
1.0
4.227 0.000 0.000
0.000 4.227 0.000
0.000 0.000 5.814
Y Os Se N
1 1 1 2
direct
0.000 0.000 0.000 Y
0.500 0.500 0.500 Os
0.000 0.000 0.500 Se
0.000 0.500 0.000 N
0.500 0.000 0.000 N

---

Which of them is the most stable? Correct choice: entry one.

---

Entry one
ZnOsSeN2 GGA-PBE relaxed; symmetry = P4/mmm, No. 123; total magnetic moment = 0.00 μB per atom
1.0
3.782 0.000 0.000
0.000 3.782 0.000
0.000 0.000 5.540
Zn Os Se N
1 1 1 2
direct
0.000 0.000 0.000 Zn
0.500 0.500 0.500 Os
0.500 0.500 0.000 Se
0.000 0.500 0.500 N
0.500 0.000 0.500 N

---

Entry two
ZnOsSeN2 GGA-PBE relaxed; symmetry = P4/mmm, No. 123; total magnetic moment = 0.02 μB per atom
1.0
3.763 0.000 0.000
0.000 3.763 0.000
0.000 0.000 5.029
Zn Os Se N
1 1 1 2
direct
0.000 0.000 0.000 Zn
0.500 0.500 0.500 Os
0.000 0.000 0.500 Se
0.000 0.500 0.000 N
0.500 0.000 0.000 N

---

Which of them is the most stable? Correct choice: entry one.

---

Entry one
ZnOsSe2N GGA-PBE relaxed; symmetry = P4/mmm, No. 123; total magnetic moment = 0.00 μB per atom
1.0
5.137 0.000 0.000
0.000 5.137 0.000
0.000 0.000 3.666
Zn Os Se N
1 1 2 1
direct
0.000 0.000 0.000 Zn
0.500 0.500 0.500 Os
0.000 0.500 0.500 Se
0.500 0.000 0.500 Se
0.500 0.500 0.000 N

---

Entry two
ZnOsSe2N GGA-PBE relaxed; symmetry = P4/mmm, No. 123; total magnetic moment = 0.06 μB per atom
1.0
4.962 0.000 0.000
0.000 4.962 0.000
0.000 0.000 3.464
Zn Os Se N
1 1 2 1
direct
0.000 0.000 0.000 Zn
0.500 0.500 0.500 Os
0.000 0.500 0.000 Se
0.500 0.000 0.000 Se
0.000 0.000 0.500 N

---

Which of them is the most stable? Correct choice: entry one.

---

Entry one
Si3OsN GGA-PBE relaxed; symmetry = Pm-3m, No. 221; total magnetic moment = 0.00 μB per atom
1.0
3.895 0.000 0.000
0.000 3.895 0.000
0.000 0.000 3.895
Si Os N
3 1 1
direct
0.000 0.000 0.500 Si
0.000 0.500 0.000 Si
0.500 0.000 0.000 Si
0.500 0.500 0.500 Os
0.000 0.000 0.000 N

---

Entry two
Si3OsN GGA-PBE relaxed; symmetry = Pm-3m, No. 221; total magnetic moment = 0.20 μB per atom
1.0
4.580 0.000 0.000
0.000 4.580 0.000
0.000 0.000 4.580
Si Os N
3 1 1
direct
0.000 0.000 0.500 Si
0.000 0.500 0.000 Si
0.500 0.000 0.000 Si
0.000 0.000 0.000 Os
0.500 0.500 0.500 N

---

Which of them is the most stable? Correct choice: entry one.

---

Entry one
SiTeOsN2 GGA-PBE relaxed; symmetry = P4/mmm, No. 123; total magnetic moment = 0.05 μB per atom
1.0
3.543 0.000 0.000
0.000 3.543 0.000
0.000 0.000 8.662
Si Te Os N
1 1 1 2
direct
0.000 0.000 0.000 Si
0.000 0.000 0.500 Te
0.500 0.500 0.500 Os
0.000 0.500 0.000 N
0.500 0.000 0.000 N

---

Entry two
SiTeOsN2 GGA-PBE relaxed; symmetry = P4/mmm, No. 123; total magnetic moment = 0.03 μB per atom
1.0
3.862 0.000 0.000
0.000 3.862 0.000
0.000 0.000 5.701
Si Te Os N
1 1 1 2
direct
0.000 0.000 0.000 Si
0.500 0.500 0.000 Te
0.500 0.500 0.500 Os
0.000 0.500 0.500 N
0.500 0.000 0.500 N

---

Which of them is the most stable? Correct choice: entry two.

---

Entry one
Sn3OsN GGA-PBE relaxed; symmetry = Pm-3m, No. 221; total magnetic moment = 0.12 μB per atom
1.0
4.545 0.000 0.000
0.000 4.545 0.000
0.000 0.000 4.545
Sn Os N
3 1 1
direct
0.000 0.000 0.500 Sn
0.000 0.500 0.000 Sn
0.500 0.000 0.000 Sn
0.500 0.500 0.500 Os
0.000 0.000 0.000 N

---

Entry two
Sn3OsN GGA-PBE relaxed; symmetry = Pm-3m, No. 221; total magnetic moment = 0.20 μB per atom
1.0
5.089 0.000 0.000
0.000 5.089 0.000
0.000 0.000 5.089
Sn Os N
3 1 1
direct
0.000 0.000 0.500 Sn
0.000 0.500 0.000 Sn
0.500 0.000 0.000 Sn
0.000 0.000 0.000 Os
0.500 0.500 0.500 N

---

Which of them is the most stable? Correct choice: entry one.

---

Entry one
SnOs2N GGA-PBE relaxed; symmetry = I-42d, No. 122; total magnetic moment = 0.00 μB per atom
1.0
-2.733 2.733 4.659
2.733 -2.733 4.659
2.733 2.733 -4.659
Sn Os N
2 4 2
direct
0.000 0.000 0.000 Sn
0.750 0.250 0.500 Sn
0.243 0.625 0.118 Os
0.375 0.493 0.618 Os
0.507 0.125 0.882 Os
0.875 0.757 0.382 Os
0.250 0.750 0.500 N
0.500 0.500 0.000 N

---

Entry two
SnOs2N GGA-PBE relaxed; symmetry = Fm-3m, No. 225; total magnetic moment = 0.00 μB per atom
1.0
0.000 3.069 3.069
3.069 0.000 3.069
3.069 3.069 0.000
Sn Os N
1 2 1
direct
0.000 0.000 0.000 Sn
0.250 0.250 0.250 Os
0.750 0.750 0.750 Os
0.500 0.500 0.500 N

---

Which of them is the most stable? Correct choice: entry one.

---

Entry one
SnTeOsN2 GGA-PBE relaxed; symmetry = P4/mmm, No. 123; total magnetic moment = 0.00 μB per atom
1.0
4.000 0.000 0.000
0.000 4.000 0.000
0.000 0.000 5.635
Sn Te Os N
1 1 1 2
direct
0.000 0.000 0.000 Sn
0.500 0.500 0.000 Te
0.500 0.500 0.500 Os
0.000 0.500 0.500 N
0.500 0.000 0.500 N

---

Entry two
SnTeOsN2 GGA-PBE relaxed; symmetry = P4/mmm, No. 123; total magnetic moment = 0.88 μB per atom
1.0
4.018 0.000 0.000
0.000 4.018 0.000
0.000 0.000 6.401
Sn Te Os N
1 1 1 2
direct
0.000 0.000 0.000 Sn
0.000 0.000 0.500 Te
0.500 0.500 0.500 Os
0.000 0.500 0.000 N
0.500 0.000 0.000 N

---

Which of them is the most stable? Correct choice: entry one.

---

Entry one
SrOsN2 GGA-PBE relaxed; symmetry = Fm-3m, No. 225; total magnetic moment = 0.00 μB per atom
1.0
0.000 2.893 2.893
2.893 0.000 2.893
2.893 2.893 0.000
Sr Os N
1 1 2
direct
0.000 0.000 0.000 Sr
0.500 0.500 0.500 Os
0.250 0.250 0.250 N
0.750 0.750 0.750 N

---

Entry two
SrOsN2 GGA-PBE relaxed; symmetry = R-3m, No. 166; total magnetic moment = 0.00 μB per atom
1.0
1.736 1.002 5.964
-1.736 1.002 5.964
0.000 -2.004 5.964
Sr Os N
1 1 2
direct
0.000 0.000 0.000 Sr
0.500 0.500 0.500 Os
0.132 0.132 0.132 N
0.868 0.868 0.868 N

---

Entry three
SrOsN2 GGA-PBE relaxed; symmetry = R-3m, No. 166; total magnetic moment = 0.00 μB per atom
1.0
1.803 1.041 6.498
-1.803 1.041 6.498
0.000 -2.082 6.498
Sr Os N
1 1 2
direct
0.000 0.000 0.000 Sr
0.500 0.500 0.500 Os
0.408 0.408 0.408 N
0.592 0.592 0.592 N

---

Which of them is the most stable? Correct choice: entry three.

---

Entry one
TaOs2N2 GGA-PBE relaxed; symmetry = I4/mmm, No. 139; total magnetic moment = 0.00 μB per atom
1.0
-1.869 1.869 4.354
1.869 -1.869 4.354
1.869 1.869 -4.354
Ta Os N
1 2 2
direct
0.000 0.000 0.000 Ta
0.350 0.350 0.000 Os
0.650 0.650 0.000 Os
0.250 0.750 0.500 N
0.750 0.250 0.500 N

---

Entry two
TaOs2N2 GGA-PBE relaxed; symmetry = P4/mbm, No. 127; total magnetic moment = 0.00 μB per atom
1.0
6.851 0.000 0.000
0.000 6.851 0.000
0.000 0.000 2.741
Ta Os N
2 4 4
direct
0.000 0.000 0.000 Ta
0.500 0.500 0.000 Ta
0.134 0.366 0.000 Os
0.366 0.866 0.000 Os
0.634 0.134 0.000 Os
0.866 0.634 0.000 Os
0.121 0.621 0.500 N
0.379 0.121 0.500 N
0.621 0.879 0.500 N
0.879 0.379 0.500 N

---

Which of them is the most stable? Correct choice: entry one.

---

Entry one
TaOs3N GGA-PBE relaxed; symmetry = Pm-3m, No. 221; total magnetic moment = 0.00 μB per atom
1.0
4.079 0.000 0.000
0.000 4.079 0.000
0.000 0.000 4.079
Ta Os N
1 3 1
direct
0.000 0.000 0.000 Ta
0.000 0.500 0.500 Os
0.500 0.000 0.500 Os
0.500 0.500 0.000 Os
0.500 0.500 0.500 N

---

Entry two
TaOs3N GGA-PBE relaxed; symmetry = Pm-3m, No. 221; total magnetic moment = 0.74 μB per atom
1.0
4.779 0.000 0.000
0.000 4.779 0.000
0.000 0.000 4.779
Ta Os N
1 3 1
direct
0.000 0.000 0.000 Ta
0.000 0.000 0.500 Os
0.000 0.500 0.000 Os
0.500 0.000 0.000 Os
0.500 0.500 0.500 N

---

Which of them is the most stable? Correct choice: entry one.

---

Entry one
TaOsN2 GGA-PBE relaxed; symmetry = Fm-3m, No. 225; total magnetic moment = 0.00 μB per atom
1.0
0.000 2.754 2.754
2.754 0.000 2.754
2.754 2.754 0.000
Ta Os N
1 1 2
direct
0.000 0.000 0.000 Ta
0.500 0.500 0.500 Os
0.250 0.250 0.250 N
0.750 0.750 0.750 N

---

Entry two
TaOsN2 GGA-PBE relaxed; symmetry = I-42d, No. 122; total magnetic moment = 0.00 μB per atom
1.0
-2.075 2.075 5.712
2.075 -2.075 5.712
2.075 2.075 -5.712
Ta Os N
2 2 4
direct
0.000 0.000 0.000 Ta
0.750 0.250 0.500 Ta
0.250 0.750 0.500 Os
0.500 0.500 0.000 Os
0.130 0.625 0.005 N
0.375 0.380 0.505 N
0.620 0.125 0.995 N
0.875 0.870 0.495 N

---

Which of them is the most stable? Correct choice: entry two.